No. 1
First-principles (GGA-PBE) data for a geometry-optimized NdCuPd structure, as listed in Alexandria.

ΔE to the lowest computed polymorph	0.000	eV/atom
DOS(E_F)	0.501	states/eV/atom
DFT formation energy	-0.5343	eV per atom

Geometry as POSCAR:
```
NdCuPd
1.0
5.204 -2.223 0.000
5.204 2.223 0.000
-4.780 0.000 5.289
Nd Cu Pd
2 2 2
Direct
0.041 0.041 0.292
0.959 0.959 0.708
0.345 0.345 0.896
0.655 0.655 0.104
0.327 0.327 0.279
0.673 0.673 0.721
```

---

No. 2
First-principles (GGA-PBE) data for a geometry-optimized CaIn2Co structure, as listed in Alexandria.

DOS(E_F)	0.681	states/eV/atom
DFT formation energy	0.2819	eV per atom

Geometry as POSCAR:
```
CaIn2Co
1.0
-2.645 2.645 8.311
2.645 -2.645 8.311
2.645 2.645 -8.311
Ca In Co
2 4 2
Direct
0.000 0.000 0.000
0.750 0.250 0.500
0.280 0.625 0.155
0.375 0.530 0.655
0.470 0.125 0.845
0.875 0.720 0.345
0.250 0.750 0.500
0.500 0.500 0.000
```

---

No. 3
First-principles (GGA-PBE) data for a geometry-optimized CeLuNi structure, as listed in Alexandria.

ΔE to the lowest computed polymorph	0.106	eV/atom
DOS(E_F)	2.157	states/eV/atom
DFT formation energy	-0.0897	eV per atom

Geometry as POSCAR:
```
CeLuNi
1.0
0.000 3.329 3.329
3.329 0.000 3.329
3.329 3.329 0.000
Ce Lu Ni
1 1 1
Direct
0.000 0.000 0.000
0.500 0.500 0.500
0.750 0.750 0.750
```

---

No. 4
First-principles (GGA-PBE) data for a geometry-optimized Hf5As2P structure, as listed in Alexandria.

DOS(E_F)	0.532	states/eV/atom
DFT formation energy	-0.5868	eV per atom

Geometry as POSCAR:
```
Hf5As2P
1.0
2.670 -5.364 0.000
2.670 5.364 0.000
0.000 0.000 11.724
Hf As P
10 4 2
Direct
0.052 0.948 0.618
0.052 0.948 0.882
0.350 0.650 0.250
0.389 0.611 0.586
0.389 0.611 0.914
0.611 0.389 0.086
0.611 0.389 0.414
0.650 0.350 0.750
0.948 0.052 0.118
0.948 0.052 0.382
0.194 0.806 0.068
0.194 0.806 0.432
0.806 0.194 0.568
0.806 0.194 0.932
0.236 0.764 0.750
0.764 0.236 0.250
```

---

No. 5
First-principles (GGA-PBE) data for a geometry-optimized TeBr7 structure, as listed in Alexandria.

raw formation energy	557	meV/atom
DOS(E_F)	1.621	states/eV/atom

Geometry as POSCAR:
```
TeBr7
1.0
0.000 4.711 4.711
4.711 0.000 4.711
4.711 4.711 0.000
Te Br
1 7
Direct
0.000 0.000 0.000
0.000 0.000 0.500
0.000 0.500 0.000
0.000 0.500 0.500
0.500 0.000 0.000
0.500 0.000 0.500
0.500 0.500 0.000
0.500 0.500 0.500
```

---

No. 6
First-principles (GGA-PBE) data for a geometry-optimized La2Pm4Hg structure, as listed in Alexandria.

DOS(E_F)	1.285	states/eV/atom
DFT formation energy	-0.0031	eV per atom

Geometry as POSCAR:
```
La2Pm4Hg
1.0
8.608 -1.801 0.000
8.608 1.801 0.000
-4.045 0.000 7.637
La Pm Hg
2 4 1
Direct
0.217 0.217 0.143
0.783 0.783 0.857
0.081 0.081 0.701
0.378 0.378 0.623
0.622 0.622 0.377
0.919 0.919 0.299
0.000 0.000 0.000
```

---

No. 7
First-principles (GGA-PBE) data for a geometry-optimized OsW2Au structure, as listed in Alexandria.

ΔE to the lowest computed polymorph	0.170	eV/atom
DOS(E_F)	0.741	states/eV/atom
DFT formation energy	0.3755	eV per atom

Geometry as POSCAR:
```
OsW2Au
1.0
4.704 -1.455 0.000
4.704 1.455 0.000
-0.956 0.000 4.667
Os W Au
1 2 1
Direct
0.000 0.000 0.000
0.256 0.256 0.764
0.744 0.744 0.236
0.500 0.500 0.500
```

---

No. 8
First-principles (GGA-PBE) data for a geometry-optimized KPS2Cl structure, as listed in Alexandria.

ΔE to the lowest computed polymorph	1.824	eV/atom
raw formation energy	1402	meV/atom
DOS(E_F)	0.967	states/eV/atom

Geometry as POSCAR:
```
KPS2Cl
1.0
6.109 0.000 0.000
0.000 6.109 0.000
0.000 0.000 6.425
K P S Cl
1 1 2 1
Direct
0.000 0.000 0.000
0.000 0.000 0.500
0.000 0.500 0.000
0.500 0.000 0.000
0.500 0.500 0.500
```

---

No. 9
First-principles (GGA-PBE) data for a geometry-optimized KNbI2Br structure, as listed in Alexandria.

raw formation energy	915	meV/atom
DOS(E_F)	2.625	states/eV/atom

Geometry as POSCAR:
```
KNbI2Br
1.0
6.101 0.000 0.000
0.000 6.101 0.000
0.000 0.000 7.135
K Nb I Br
1 1 2 1
Direct
0.000 0.000 0.000
0.000 0.000 0.500
0.000 0.500 0.000
0.500 0.000 0.000
0.500 0.500 0.500
```

---

No. 10
First-principles (GGA-PBE) data for a geometry-optimized Ca2TlFeN structure, as listed in Alexandria.

raw formation energy	-412	meV/atom
DOS(E_F)	0.532	states/eV/atom

Geometry as POSCAR:
```
Ca2TlFeN
1.0
5.159 0.000 0.000
0.000 5.159 0.000
0.000 0.000 3.629
Ca Tl Fe N
2 1 1 1
Direct
0.000 0.500 0.000
0.500 0.000 0.000
0.000 0.000 0.500
0.500 0.500 0.500
0.500 0.500 0.000
```

---

No. 11
First-principles (GGA-PBE) data for a geometry-optimized ScTlSn structure, as listed in Alexandria.

ΔE to the lowest computed polymorph	0.077	eV/atom
DOS(E_F)	0.527	states/eV/atom
DFT formation energy	-0.2048	eV per atom

Geometry as POSCAR:
```
ScTlSn
1.0
2.843 -4.364 0.000
2.843 4.364 0.000
0.000 0.000 6.169
Sc Tl Sn
2 2 2
Direct
0.182 0.818 0.750
0.818 0.182 0.250
0.500 0.500 0.000
0.500 0.500 0.500
0.167 0.833 0.250
0.833 0.167 0.750
```

---

No. 12
First-principles (GGA-PBE) data for a geometry-optimized TlAgGe structure, as listed in Alexandria.

DOS(E_F)	0.436	states/eV/atom
DFT formation energy	0.3028	eV per atom

Geometry as POSCAR:
```
TlAgGe
1.0
2.308 -4.248 0.000
2.308 4.248 0.000
0.000 0.000 7.031
Tl Ag Ge
2 2 2
Direct
0.000 0.000 0.000
0.000 0.000 0.500
0.336 0.664 0.750
0.664 0.336 0.250
0.338 0.662 0.250
0.662 0.338 0.750
```

---

No. 13
First-principles (GGA-PBE) data for a geometry-optimized BaTlGa2 structure, as listed in Alexandria.

ΔE to the lowest computed polymorph	0.000	eV/atom
DOS(E_F)	0.480	states/eV/atom
DFT formation energy	-0.1890	eV per atom

Geometry as POSCAR:
```
BaTlGa2
1.0
0.000 3.839 3.839
3.839 0.000 3.839
3.839 3.839 0.000
Ba Tl Ga
1 1 2
Direct
0.000 0.000 0.000
0.500 0.500 0.500
0.250 0.250 0.250
0.750 0.750 0.750
```

---

No. 14
First-principles (GGA-PBE) data for a geometry-optimized CsNaTaTe4 structure, as listed in Alexandria.

raw formation energy	-530	meV/atom
DOS(E_F)	0.315	states/eV/atom

Geometry as POSCAR:
```
CsNaTaTe4
1.0
7.735 0.000 0.000
0.000 6.996 0.000
-3.377 0.000 10.593
Cs Na Ta Te
2 2 2 8
Direct
0.232 0.250 0.438
0.768 0.750 0.562
0.256 0.250 0.958
0.744 0.750 0.042
0.267 0.750 0.167
0.733 0.250 0.833
0.056 0.750 0.313
0.095 0.750 0.929
0.477 0.517 0.772
0.477 0.983 0.772
0.523 0.017 0.228
0.523 0.483 0.228
0.905 0.250 0.071
0.944 0.250 0.687
```

---

No. 15
First-principles (GGA-PBE) data for a geometry-optimized Ce2Y3Tm6Th structure, as listed in Alexandria.

DOS(E_F)	1.845	states/eV/atom
DFT formation energy	0.0441	eV per atom

Geometry as POSCAR:
```
Ce2Y3Tm6Th
1.0
3.046 -5.274 0.000
3.046 5.274 0.000
-2.030 0.000 11.434
Ce Y Tm Th
2 3 6 1
Direct
0.167 0.833 0.000
0.833 0.167 0.000
0.000 0.000 0.500
0.333 0.667 0.500
0.667 0.333 0.500
0.085 0.418 0.754
0.250 0.250 0.246
0.418 0.085 0.754
0.582 0.915 0.246
0.750 0.750 0.754
0.915 0.582 0.246
0.500 0.500 0.000
```

---

No. 16
First-principles (GGA-PBE) data for a geometry-optimized TaCoSi2 structure, as listed in Alexandria.

raw formation energy	-117	meV/atom
DOS(E_F)	0.594	states/eV/atom

Geometry as POSCAR:
```
TaCoSi2
1.0
-1.856 1.856 3.957
1.856 -1.856 3.957
1.856 1.856 -3.957
Ta Co Si
1 1 2
Direct
0.000 0.000 0.000
0.500 0.500 0.000
0.250 0.750 0.500
0.750 0.250 0.500
```

---

No. 17
First-principles (GGA-PBE) data for a geometry-optimized Ba2Ag2IrO6 structure, as listed in Alexandria.

raw formation energy	-1240	meV/atom
DOS(E_F)	0.343	states/eV/atom

Geometry as POSCAR:
```
Ba2Ag2IrO6
1.0
3.234 -5.672 0.000
3.234 5.672 0.000
-0.604 0.000 6.283
Ba Ag Ir O
2 2 1 6
Direct
0.165 0.835 0.000
0.835 0.165 0.000
0.372 0.628 0.500
0.628 0.372 0.500
0.500 0.500 0.000
0.234 0.234 0.837
0.264 0.522 0.177
0.478 0.736 0.823
0.522 0.264 0.177
0.736 0.478 0.823
0.766 0.766 0.163
```

---

No. 18
First-principles (GGA-PBE) data for a geometry-optimized AcLa3Y structure, as listed in Alexandria.

ΔE to the lowest computed polymorph	0.000	eV/atom
DOS(E_F)	1.674	states/eV/atom
DFT formation energy	0.1607	eV per atom

Geometry as POSCAR:
```
AcLa3Y
1.0
6.832 0.000 0.000
-3.408 5.949 0.000
-0.053 -3.842 9.310
Ac La Y
2 6 2
Direct
0.000 0.000 0.000
0.500 0.000 0.500
0.012 0.450 0.314
0.353 0.697 0.049
0.450 0.312 0.314
0.550 0.688 0.686
0.647 0.303 0.951
0.988 0.550 0.686
0.116 0.121 0.682
0.884 0.879 0.318
```

---

No. 19
First-principles (GGA-PBE) data for a geometry-optimized CaSn5Au4 structure, as listed in Alexandria.

DOS(E_F)	0.344	states/eV/atom
DFT formation energy	-0.2849	eV per atom

Geometry as POSCAR:
```
CaSn5Au4
1.0
7.838 -2.328 0.000
7.838 2.328 0.000
-1.343 0.000 7.060
Ca Sn Au
1 5 4
Direct
0.000 0.000 0.000
0.000 0.000 0.500
0.323 0.323 0.992
0.342 0.342 0.557
0.658 0.658 0.443
0.677 0.677 0.008
0.195 0.195 0.239
0.466 0.466 0.270
0.534 0.534 0.730
0.805 0.805 0.761
```

---

No. 20
First-principles (GGA-PBE) data for a geometry-optimized TbPrNd3Sm structure, as listed in Alexandria.

DOS(E_F)	1.406	states/eV/atom
DFT formation energy	0.1673	eV per atom

Geometry as POSCAR:
```
TbPrNd3Sm
1.0
10.325 -2.927 0.000
10.325 2.927 0.000
-0.056 0.000 6.920
Tb Pr Nd Sm
2 2 6 2
Direct
0.145 0.145 0.472
0.855 0.855 0.528
0.146 0.146 0.024
0.854 0.854 0.976
0.018 0.018 0.747
0.281 0.281 0.746
0.339 0.339 0.257
0.661 0.661 0.743
0.719 0.719 0.254
0.982 0.982 0.253
0.443 0.443 0.741
0.557 0.557 0.259
```